## La7Pm3Y (PBE)

Data for a relaxed structure of La7Pm3Y.

```
La7Pm3Y
1.0
-3.3323 -3.1144 -4.0107
-3.2575 -0.9477 8.0185
-3.0854 8.0968 0.8522
Pm La Y
3 7 1
Direct
0.5000 0.0000 0.0000
0.0000 0.2072 0.7928
0.0000 0.7928 0.2072
0.3025 0.0101 0.5956
0.6975 0.9899 0.4044
0.0000 0.5000 0.5000
0.6975 0.4044 0.9899
0.3025 0.5956 0.0101
0.7896 0.7897 0.7897
0.2104 0.2103 0.2103
0.5000 0.5000 0.5000
```

## Properties
Density   6.1 g cm⁻³
Distance to the lowest polymorph of the same formula   0.0 meV/atom
Formation energy from the elements   0.21 eV/atom
Space group   C2/m, No. 12